A relaxed YNb2NO5 crystal, computed with PBE-GGA.

```
data_YNb2NO5
_chemical_formula_sum 'Y4 Nb8 N4 O20'
_cell_length_a 5.3174
_cell_length_b 5.7656
_cell_length_c 15.0480
_cell_angle_alpha 90.00
_cell_angle_beta 89.85
_cell_angle_gamma 89.71
_symmetry_space_group_name_H-M 'P 1'
_symmetry_Int_Tables_number 1
_symmetry_space_group_name_Hall 'P 1'
loop_
_atom_site_label
_atom_site_type_symbol
_atom_site_fract_x
_atom_site_fract_y
_atom_site_fract_z
Y1 Y 0.0000 0.0000 0.0000
Y2 Y 0.9996 0.4923 0.4987
Y3 Y 0.5055 0.5377 0.9984
Y4 Y 0.5125 0.0286 0.4958
Nb1 Nb 0.0591 0.9454 0.6637
Nb2 Nb 0.0727 0.4659 0.8357
Nb3 Nb 0.4270 0.0864 0.1666
Nb4 Nb 0.4587 0.5824 0.3386
Nb5 Nb 0.5566 0.0806 0.8316
Nb6 Nb 0.5736 0.5604 0.6609
Nb7 Nb 0.9424 0.4533 0.1656
Nb8 Nb 0.9436 0.9551 0.3279
N1 N 0.1086 0.1383 0.2342
N2 N 0.1670 0.6851 0.9135
N3 N 0.6704 0.3394 0.5836
N4 N 0.7312 0.6982 0.4035
O1 O 0.1074 0.6379 0.2531
O2 O 0.1692 0.1622 0.5817
O3 O 0.2206 0.3406 0.0860
O4 O 0.2329 0.8344 0.4013
O5 O 0.2768 0.2015 0.9067
O6 O 0.2777 0.6954 0.5918
O7 O 0.3340 0.3531 0.4153
O8 O 0.3359 0.8626 0.0828
O9 O 0.3740 0.9098 0.7417
O10 O 0.3980 0.3968 0.7599
O11 O 0.6115 0.4061 0.2369
O12 O 0.6168 0.9087 0.2536
O13 O 0.6673 0.8622 0.9136
O14 O 0.7139 0.2157 0.0876
O15 O 0.7733 0.3307 0.9025
O16 O 0.7815 0.8208 0.5890
O17 O 0.8352 0.6807 0.0827
O18 O 0.8372 0.1765 0.4111
O19 O 0.8728 0.1141 0.7536
O20 O 0.8982 0.6282 0.7360
```

energy relative to the lowest polymorph listed for this composition: 0.0 kJ/mol of atoms
Fermi-level density of states: 0.00 states/eV/atom
theoretical density: 5.3 Mg/m³
magnetic moment: 0.0 μB/f.u.



A relaxed SmEr2Si2Pt7 crystal, computed with PBE-GGA.

```
data_SmEr2Si2Pt7
_chemical_formula_sum 'Sm2 Er4 Si4 Pt14'
_cell_length_a 5.7521
_cell_length_b 5.6917
_cell_length_c 13.8194
_cell_angle_alpha 90.00
_cell_angle_beta 99.06
_cell_angle_gamma 90.00
_symmetry_space_group_name_H-M 'C 1 2/m 1'
_symmetry_Int_Tables_number 12
_symmetry_space_group_name_Hall '-C 2y'
loop_
_atom_site_label
_atom_site_type_symbol
_atom_site_fract_x
_atom_site_fract_y
_atom_site_fract_z
Sm1 Sm 0.0000 0.0000 0.0000
Er1 Er 0.1210 0.0000 0.3584
Si1 Si 0.1004 0.5000 0.2609
Pt1 Pt 0.0000 0.5000 0.0000
Pt2 Pt 0.1386 0.5000 0.4302
Pt3 Pt 0.1855 0.2502 0.8337
```

Fermi-level density of states: 0.39 states/eV/atom
theoretical density: 14.2 Mg/m³
total DFT energy (no corrections): -6.665 eV/atom
magnetic moment: 0.0 μB/f.u.



A relaxed Tb2Nd5Th2 crystal, computed with PBE-GGA.

```
data_Tb2Nd5Th2
_chemical_formula_sum 'Tb2 Nd5 Th2'
_cell_length_a 6.1611
_cell_length_b 6.8728
_cell_length_c 8.6361
_cell_angle_alpha 78.64
_cell_angle_beta 69.56
_cell_angle_gamma 64.47
_symmetry_space_group_name_H-M 'P -1'
_symmetry_Int_Tables_number 2
_symmetry_space_group_name_Hall '-P 1'
loop_
_atom_site_label
_atom_site_type_symbol
_atom_site_fract_x
_atom_site_fract_y
_atom_site_fract_z
Tb1 Tb 0.1866 0.4289 0.1274
Nd1 Nd 0.0000 0.0000 0.0000
Nd2 Nd 0.3957 0.6842 0.6536
Nd3 Nd 0.4939 0.8670 0.2355
Th1 Th 0.0412 0.2310 0.5479
```

Fermi-level density of states: 1.68 states/eV/atom
theoretical density: 8.1 Mg/m³
magnetic moment: 0.0 μB/f.u.
energy of formation from the pure elements: 112 meV/atom



A relaxed ReBr crystal, computed with PBE-GGA.

```
data_ReBr
_chemical_formula_sum 'Re2 Br2'
_cell_length_a 3.8496
_cell_length_b 3.8496
_cell_length_c 5.8680
_cell_angle_alpha 90.00
_cell_angle_beta 90.00
_cell_angle_gamma 120.00
_symmetry_space_group_name_H-M 'P 63/m m c'
_symmetry_Int_Tables_number 194
_symmetry_space_group_name_Hall '-P 6c 2c'
loop_
_atom_site_label
_atom_site_type_symbol
_atom_site_fract_x
_atom_site_fract_y
_atom_site_fract_z
Re1 Re 0.3333 0.6667 0.2500
Br1 Br 0.0000 0.0000 0.0000
```

energy relative to the lowest polymorph listed for this composition: 207.4 kJ/mol of atoms
Fermi-level density of states: 1.20 states/eV/atom
theoretical density: 11.7 Mg/m³
magnetic moment: 0.0 μB/f.u.



A relaxed NaUBr4 crystal, computed with PBE-GGA.

```
data_NaUBr4
_chemical_formula_sum 'Na2 U2 Br8'
_cell_length_a 13.8648
_cell_length_b 4.3617
_cell_length_c 7.6711
_cell_angle_alpha 90.00
_cell_angle_beta 98.41
_cell_angle_gamma 90.00
_symmetry_space_group_name_H-M 'C 1 2/m 1'
_symmetry_Int_Tables_number 12
_symmetry_space_group_name_Hall '-C 2y'
loop_
_atom_site_label
_atom_site_type_symbol
_atom_site_fract_x
_atom_site_fract_y
_atom_site_fract_z
Na1 Na 0.0000 0.0000 0.0000
U1 U 0.0000 0.5000 0.5000
Br1 Br 0.1089 0.5000 0.8477
Br2 Br 0.1196 0.0000 0.3829
```

energy relative to the lowest polymorph listed for this composition: 0.0 kJ/mol of atoms
Fermi-level density of states: 0.29 states/eV/atom
theoretical density: 4.2 Mg/m³
magnetic moment: 3.0 μB/f.u.



A relaxed NaIn2Ag8 crystal, computed with PBE-GGA.

```
data_NaIn2Ag8
_chemical_formula_sum 'Na2 In4 Ag16'
_cell_length_a 15.0511
_cell_length_b 4.3633
_cell_length_c 6.7766
_cell_angle_alpha 90.00
_cell_angle_beta 108.37
_cell_angle_gamma 90.00
_symmetry_space_group_name_H-M 'C 1 2/m 1'
_symmetry_Int_Tables_number 12
_symmetry_space_group_name_Hall '-C 2y'
loop_
_atom_site_label
_atom_site_type_symbol
_atom_site_fract_x
_atom_site_fract_y
_atom_site_fract_z
Na1 Na 0.0000 0.0000 0.0000
In1 In 0.2246 0.5000 0.6466
Ag1 Ag 0.0437 0.5000 0.7250
Ag2 Ag 0.0899 0.0000 0.4604
Ag3 Ag 0.1373 0.5000 0.1863
Ag4 Ag 0.1810 0.0000 0.9121
```

Fermi-level density of states: 0.17 states/eV/atom
theoretical density: 8.8 Mg/m³
magnetic moment: 0.0 μB/f.u.
energy of formation from the pure elements: -16 meV/atom



A relaxed RbTc2Ag crystal, computed with PBE-GGA.

```
data_RbTc2Ag
_chemical_formula_sum 'Rb4 Tc8 Ag4'
_cell_length_a 4.4265
_cell_length_b 4.4265
_cell_length_c 20.9877
_cell_angle_alpha 90.00
_cell_angle_beta 90.00
_cell_angle_gamma 90.00
_symmetry_space_group_name_H-M 'I -4 2 d'
_symmetry_Int_Tables_number 122
_symmetry_space_group_name_Hall 'I -4 2bw'
loop_
_atom_site_label
_atom_site_type_symbol
_atom_site_fract_x
_atom_site_fract_y
_atom_site_fract_z
Rb1 Rb 0.0000 0.0000 0.0000
Tc1 Tc 0.0764 0.7500 0.6250
Ag1 Ag 0.0000 0.0000 0.5000
```

energy relative to the lowest polymorph listed for this composition: 0.0 kJ/mol of atoms
Fermi-level density of states: 1.08 states/eV/atom
theoretical density: 6.3 Mg/m³
magnetic moment: 0.0 μB/f.u.
energy of formation from the pure elements: 1421 meV/atom



A relaxed Zr3Mn7Cr2 crystal, computed with PBE-GGA.

```
data_Zr3Mn7Cr2
_chemical_formula_sum 'Zr9 Mn21 Cr6'
_cell_length_a 5.0265
_cell_length_b 5.0265
_cell_length_c 23.1954
_cell_angle_alpha 90.00
_cell_angle_beta 90.00
_cell_angle_gamma 120.00
_symmetry_space_group_name_H-M 'R -3 m'
_symmetry_Int_Tables_number 166
_symmetry_space_group_name_Hall '-R 3 2"'
loop_
_atom_site_label
_atom_site_type_symbol
_atom_site_fract_x
_atom_site_fract_y
_atom_site_fract_z
Zr1 Zr 0.0000 0.0000 0.0000
Zr2 Zr 0.0000 0.0000 0.1424
Mn1 Mn 0.0000 0.0000 0.5000
Mn2 Mn 0.0017 0.5009 0.9172
Cr1 Cr 0.0000 0.0000 0.3328
```

Fermi-level density of states: 0.98 states/eV/atom
theoretical density: 7.5 Mg/m³
magnetic moment: 5.6 μB/f.u.
energy of formation from the pure elements: -87 meV/atom



A relaxed TbNdScTe3 crystal, computed with PBE-GGA.

```
data_TbNdScTe3
_chemical_formula_sum 'Tb2 Nd2 Sc2 Te6'
_cell_length_a 8.8267
_cell_length_b 4.3114
_cell_length_c 9.9367
_cell_angle_alpha 90.00
_cell_angle_beta 104.47
_cell_angle_gamma 90.00
_symmetry_space_group_name_H-M 'P 1 21/m 1'
_symmetry_Int_Tables_number 11
_symmetry_space_group_name_Hall '-P 2yb'
loop_
_atom_site_label
_atom_site_type_symbol
_atom_site_fract_x
_atom_site_fract_y
_atom_site_fract_z
Tb1 Tb 0.1681 0.2500 0.1660
Nd1 Nd 0.3247 0.7500 0.7636
Sc1 Sc 0.4107 0.7500 0.4065
Te1 Te 0.0828 0.2500 0.8383
Te2 Te 0.2386 0.2500 0.5015
Te3 Te 0.4033 0.7500 0.1140
```

Fermi-level density of states: 0.55 states/eV/atom
theoretical density: 6.6 Mg/m³
total DFT energy (no corrections): -5.405 eV/atom
magnetic moment: 1.1 μB/f.u.



A relaxed NaTiCdF6 crystal, computed with PBE-GGA.

```
data_NaTiCdF6
_chemical_formula_sum 'Na2 Ti2 Cd2 F12'
_cell_length_a 5.5739
_cell_length_b 5.5739
_cell_length_c 9.4642
_cell_angle_alpha 90.00
_cell_angle_beta 90.00
_cell_angle_gamma 120.00
_symmetry_space_group_name_H-M 'P -3 1 c'
_symmetry_Int_Tables_number 163
_symmetry_space_group_name_Hall '-P 3 2c'
loop_
_atom_site_label
_atom_site_type_symbol
_atom_site_fract_x
_atom_site_fract_y
_atom_site_fract_z
Na1 Na 0.3333 0.6667 0.2500
Ti1 Ti 0.3333 0.6667 0.7500
Cd1 Cd 0.0000 0.0000 0.0000
F1 F 0.0421 0.3671 0.6322
```

Fermi-level density of states: 0.68 states/eV/atom
theoretical density: 3.9 Mg/m³
total DFT energy (no corrections): -5.191 eV/atom
magnetic moment: 1.0 μB/f.u.